# RbZn2Hg

A relaxed RbZn2Hg crystal (GGA-PBE, Alexandria).

Cell and atoms, written as POSCAR:
```
RbZn2Hg
1.0
-3.367 -2.342 3.675
-5.417 0.967 -0.220
-3.448 -3.993 -1.578
Zn Hg Rb
2 1 1
Direct
0.250 0.250 0.250
0.750 0.750 0.750
0.500 0.500 0.500
0.000 0.000 0.000
```

Properties
As for the crystal system: cubic. As for the space-group type: Fm-3m. Its magnetic moment is 0.000 μB/f.u. The offset from the most stable computed form is 120 meV/atom. The calculation puts the density at 5.9 g/cm3.



# CrIn2Br5

A relaxed CrIn2Br5 crystal (GGA-PBE, Alexandria).

Cell and atoms, written as POSCAR:
```
CrIn2Br5
1.0
6.567 -0.924 3.158
-4.021 6.505 0.901
0.750 -0.564 7.646
Cr In Br
1 2 5
Direct
0.097 0.053 0.957
0.534 0.235 0.233
0.534 0.767 0.701
0.617 0.833 0.217
0.215 0.333 0.117
0.124 0.839 0.716
0.162 0.855 0.146
0.164 0.308 0.692
```

Properties
As for the crystal system: monoclinic. As for the space-group type: Cm. Its magnetic moment is 3.000 μB/f.u. The calculation puts the density at 3.9 g/cm3. The calculation puts the formation energy from raw total energies at -0.6607 eV/atom.



# Cd4SnAu5

A relaxed Cd4SnAu5 crystal (GGA-PBE, Alexandria).

Cell and atoms, written as POSCAR:
```
Cd4SnAu5
1.0
-1.188 2.379 -1.641
-0.535 -1.925 -2.403
-18.672 -4.159 7.487
Cd Sn Au
4 1 5
Direct
0.000 0.000 0.209
0.000 0.000 0.403
0.000 0.000 0.597
0.000 0.000 0.791
0.000 0.000 0.000
0.500 0.500 0.113
0.500 0.500 0.306
0.500 0.500 0.500
0.500 0.500 0.694
0.500 0.500 0.887
```

Properties
As for the crystal system: tetragonal. As for the space-group type: P4/mmm. Its magnetic moment is 0.000 μB/f.u. The offset from the most stable computed form is 0 meV/atom. The calculation puts the density at 12.9 g/cm3.



# ThUN2O

A relaxed ThUN2O crystal (GGA-PBE, Alexandria).

Cell and atoms, written as POSCAR:
```
ThUN2O
1.0
3.635 0.000 0.000
0.000 3.635 0.000
0.000 0.000 11.012
Th U N O
2 2 4 2
Direct
0.500 0.000 0.634
0.000 0.500 0.366
0.500 0.000 0.104
0.000 0.500 0.896
0.000 0.500 0.714
0.000 0.500 0.107
0.500 0.000 0.893
0.500 0.000 0.286
0.000 0.000 0.500
0.500 0.500 0.500
```

Properties
As for the crystal system: tetragonal. As for the space-group type: P4/nmm. Its magnetic moment is 1.515 μB/f.u. The calculation puts the density at 11.7 g/cm3. The calculation puts the formation energy from raw total energies at -2.0557 eV/atom.



# CuRu

A relaxed CuRu crystal (GGA-PBE, Alexandria).

Cell and atoms, written as POSCAR:
```
CuRu
1.0
-3.778 -1.831 1.194
0.918 -3.581 -2.584
2.432 -2.340 4.106
Cu Ru
4 4
Direct
0.250 0.083 0.130
0.750 0.417 0.630
0.250 0.583 0.370
0.750 0.917 0.870
0.250 0.074 0.629
0.750 0.426 0.129
0.250 0.574 0.871
0.750 0.926 0.371
```

Properties
As for the crystal system: orthorhombic. As for the space-group type: Pnma. Its magnetic moment is 0.000 μB/f.u. The calculation puts the density at 10.4 g/cm3. The calculation puts the total energy at -12.88 eV per formula unit.



# LiTa2Sb

A relaxed LiTa2Sb crystal (GGA-PBE, Alexandria).

Cell and atoms, written as POSCAR:
```
LiTa2Sb
1.0
-0.252 -0.651 2.935
-2.560 -0.929 -1.299
3.698 -8.118 -1.483
Li Sb Ta
1 1 2
Direct
0.000 0.000 0.503
0.500 0.500 0.757
0.000 0.000 0.003
0.500 0.500 0.236
```

Properties
As for the crystal system: orthorhombic. As for the space-group type: Cmm2. Its magnetic moment is 0.000 μB/f.u. The calculation puts the density at 10.3 g/cm3. The calculation puts the formation energy from raw total energies at 0.1079 eV/atom.